# 1
Si4Te2H44PdC16Cl2: relaxed, GGA-PBEsol.

```
138
Lattice="12.031 -3.272 0.000 12.031 3.272 0.000 -1.371 0.000 20.195" Properties=species:S:1:pos:R:3 pbc="T T T"
Si 9.359 2.072 12.380
Si 7.601 1.453 7.227
Si 12.647 2.072 17.913
Si 15.776 1.453 2.870
Si 6.916 -1.453 17.325
Si 10.045 -2.072 2.282
Si 15.090 -1.453 12.968
Si 13.332 -2.072 7.815
Te 3.835 0.252 0.142
Te 3.149 -0.252 10.240
Te 19.542 0.252 9.955
Te 18.857 -0.252 20.053
H 4.845 1.494 11.258
H 0.148 0.036 2.819
H -0.538 -0.036 12.916
H 6.902 1.856 11.939
H 2.652 0.415 3.204
H 5.398 1.085 6.155
H 2.481 0.309 14.850
H 10.783 2.341 3.358
H 11.229 2.375 1.634
H 4.376 0.446 3.682
H 2.697 0.221 17.710
H 8.799 1.649 14.783
H 12.148 2.375 8.464
H 1.967 -0.415 13.302
H 12.594 2.341 6.740
H 7.196 0.900 9.666
H 3.167 -0.309 4.752
H 3.382 -0.221 7.612
H 5.366 0.458 16.866
H 10.146 1.547 10.064
H 6.687 0.251 5.252
H 3.690 -0.446 13.780
H 10.007 1.074 7.817
H 13.232 1.547 0.034
H 6.002 -0.251 15.349
H 8.384 0.444 18.000
H 6.051 -0.458 6.768
H 13.207 1.649 15.510
H 8.524 0.203 13.770
H 10.188 0.658 14.247
H 9.557 0.220 6.319
H 15.104 1.856 18.354
H 11.041 0.611 11.284
H 13.370 1.074 2.281
H 9.386 0.124 10.829
H 4.712 -1.085 16.252
H 10.965 0.611 19.009
H 9.210 -0.203 3.673
H 11.818 0.658 16.046
H 10.072 -0.124 0.732
H 8.872 -0.220 16.417
H 5.530 -1.494 1.161
H 6.510 -0.900 19.763
H 9.070 -0.444 7.902
H 13.622 0.444 12.293
H 16.181 0.900 0.432
H 17.161 1.494 19.035
H 13.820 0.220 3.778
H 12.620 0.124 19.464
H 10.874 -0.658 4.149
H 13.481 0.203 16.522
H 11.726 -0.611 1.186
H 17.979 1.085 3.943
H 13.305 -0.124 9.366
H 9.322 -1.074 17.914
H 11.651 -0.611 8.911
H 7.588 -1.856 1.841
H 13.134 -0.220 13.876
H 12.504 -0.658 5.949
H 14.167 -0.203 6.425
H 9.484 -1.649 4.686
H 16.640 0.458 13.427
H 14.307 -0.444 2.195
H 16.690 0.251 4.846
H 9.460 -1.547 20.161
H 12.684 -1.074 12.378
H 19.002 0.446 6.415
H 16.004 -0.251 14.944
H 12.546 -1.547 10.132
H 17.326 -0.458 3.329
H 19.309 0.221 12.583
H 19.525 0.309 15.443
H 15.496 -0.900 10.530
H 10.097 -2.341 13.456
H 20.725 0.415 6.894
H 10.543 -2.375 11.731
H 13.893 -1.649 5.412
H 19.995 -0.221 2.486
H 18.316 -0.446 16.513
H 11.463 -2.375 18.562
H 11.908 -2.341 16.837
H 20.210 -0.309 5.346
H 17.294 -1.085 14.041
H 20.039 -0.415 16.991
H 15.790 -1.856 8.256
H 23.229 0.036 7.279
H 22.544 -0.036 17.377
H 17.847 -1.494 8.937
Pd 6.016 1.636 0.000
Pd 5.330 -1.636 10.098
C 11.159 2.989 2.548
C 6.916 1.713 8.973
C 3.026 0.590 8.271
C 12.218 2.989 7.549
C 2.769 0.162 13.794
C 3.455 -0.162 3.697
C 6.320 0.488 6.265
C 2.340 -0.590 18.369
C 9.203 1.056 13.946
C 10.042 0.993 11.012
C 9.208 0.491 7.331
C 5.634 -0.488 16.363
C 11.964 0.993 19.281
C 12.803 1.056 16.347
C 16.462 1.713 1.124
C 8.522 -0.491 17.428
C 14.170 0.491 2.767
C 6.230 -1.713 19.071
C 9.889 -1.056 3.849
C 10.728 -0.993 0.914
C 17.058 0.488 3.832
C 13.484 -0.491 12.865
C 12.650 -0.993 9.183
C 13.489 -1.056 6.249
C 20.352 0.590 1.826
C 16.372 -0.488 13.930
C 19.237 0.162 16.499
C 19.923 -0.162 6.401
C 10.473 -2.989 12.646
C 19.666 -0.590 11.924
C 15.776 -1.713 11.222
C 11.533 -2.989 17.647
Cl 6.898 0.686 1.891
Cl 6.213 -0.686 11.988
Cl 16.479 0.686 8.207
Cl 15.793 -0.686 18.304
```

Calculated values
space group = C2/c
total energy = -5.107 eV per atom
total magnetic moment = 0.1 μB per cell



# 2
SnH12C4S2Cl4: relaxed, GGA-PBEsol.

```
46
Lattice="6.642 0.000 0.000 0.000 12.126 0.000 -4.346 0.000 7.790" Properties=species:S:1:pos:R:3 pbc="T T T"
Sn 0.000 0.000 0.000
Sn -2.173 6.063 3.895
H -2.819 3.025 5.181
H -0.646 3.039 1.287
H -1.923 2.352 3.764
H -4.095 3.711 7.658
H -1.396 1.926 5.435
H 0.777 4.138 1.540
H 0.551 1.324 3.023
H -1.622 4.739 6.918
H 2.201 6.871 1.082
H 0.028 11.319 4.977
H 2.570 8.603 0.735
H 0.397 9.587 4.630
H 1.899 2.539 3.160
H -0.274 3.524 7.055
H 2.268 0.807 2.813
H 0.095 5.256 6.708
H 3.918 7.387 0.872
H 1.745 10.803 4.767
H 1.519 7.989 6.250
H 3.692 10.201 2.355
H 6.392 8.415 0.131
H 4.219 9.774 4.026
H 2.942 9.088 6.503
H 5.115 9.102 2.608
C -1.832 2.714 4.799
C 0.340 3.349 0.904
C 1.547 1.622 2.661
C -0.626 4.441 6.556
C 2.922 7.685 1.233
C 0.749 10.504 5.128
C 1.956 8.777 6.885
C 4.129 9.413 2.990
S 1.484 1.971 0.906
S -0.689 4.092 4.801
S 2.985 8.034 2.988
S 0.812 10.156 6.883
Cl -0.385 6.678 2.352
Cl -2.558 11.512 6.247
Cl -1.275 7.585 5.569
Cl 0.898 10.605 1.675
Cl 1.398 1.522 6.115
Cl 3.571 4.542 2.220
Cl 4.854 0.615 1.543
Cl 2.681 5.448 5.438
```

Calculated values
space group = P2_1/c
total energy = -4.667 eV per atom
total magnetic moment = 0.0 μB per cell



# 3
SiH9C3Cl: relaxed, GGA-PBEsol.

```
28
Lattice="6.281 0.000 0.000 0.000 7.644 0.000 -0.036 0.000 6.741" Properties=species:S:1:pos:R:3 pbc="T T T"
Si 1.121 1.911 2.144
Si 5.124 5.733 4.597
H 1.236 0.321 0.229
H 1.236 3.501 0.229
H 1.295 4.355 1.803
H 1.295 7.111 1.803
H 1.296 1.011 4.444
H 1.296 2.811 4.444
H 2.739 0.323 1.193
H 2.739 3.500 1.193
H 2.765 1.911 3.977
H 3.480 5.733 2.765
H 3.506 4.145 5.548
H 3.506 7.322 5.548
H 4.949 4.833 2.297
H 4.949 6.633 2.297
H 4.950 0.533 4.938
H 4.950 3.289 4.938
H 5.009 4.143 6.512
H 5.009 7.323 6.512
C 1.637 0.361 1.255
C 1.637 3.461 1.255
C 1.662 1.911 3.922
C 4.583 5.733 2.819
C 4.608 4.183 5.487
C 4.608 7.283 5.487
Cl 0.955 5.733 4.577
Cl 5.290 1.911 2.165
```

Calculated values
space group = P2_1/m
total energy = -5.057 eV per atom
total magnetic moment = 0.0 μB per cell



# 4
ZnHC2Cl: relaxed, GGA-PBEsol.

```
5
Lattice="4.066 0.000 0.000 0.000 4.066 0.000 0.000 0.000 3.289" Properties=species:S:1:pos:R:3 pbc="T T T"
Zn 0.000 0.000 0.000
H 0.000 0.000 1.644
C 0.000 2.033 0.000
C 2.033 0.000 0.000
Cl 2.033 2.033 1.644
```

Calculated values
space group = P4/mmm
total energy = -3.165 eV per atom
total magnetic moment = 0.0 μB per cell



# 5
HfMg2CCl: relaxed, GGA-PBEsol.

```
5
Lattice="4.016 0.000 0.000 0.000 4.016 0.000 0.000 0.000 6.191" Properties=species:S:1:pos:R:3 pbc="T T T"
Hf 0.000 0.000 0.000
Mg 0.000 2.008 3.096
Mg 2.008 0.000 3.096
C 2.008 2.008 3.096
Cl 2.008 2.008 0.000
```

Calculated values
space group = P4/mmm
total energy = -4.308 eV per atom
total magnetic moment = 0.0 μB per cell



# 6
Hg2IrCCl: relaxed, GGA-PBEsol.

```
5
Lattice="5.660 0.000 0.000 0.000 5.660 0.000 0.000 0.000 4.221" Properties=species:S:1:pos:R:3 pbc="T T T"
Hg 0.000 2.830 0.000
Hg 2.830 0.000 0.000
Ir 0.000 0.000 2.111
C 2.830 2.830 2.111
Cl 0.000 0.000 0.000
```

Calculated values
space group = P4/mmm
total energy = -2.119 eV per atom
total magnetic moment = 1.4 μB per cell



# 7
HgC2ClO: relaxed, GGA-PBEsol.

```
5
Lattice="4.152 0.000 0.000 0.000 4.152 0.000 0.000 0.000 5.604" Properties=species:S:1:pos:R:3 pbc="T T T"
Hg 0.000 0.000 0.000
C 0.000 2.076 0.000
C 2.076 0.000 0.000
Cl 0.000 0.000 2.802
O 2.076 2.076 2.802
```

Calculated values
space group = P4/mmm
total energy = -2.510 eV per atom
total magnetic moment = 4.5 μB per cell



# 8
HgCSCl2: relaxed, GGA-PBEsol.

```
5
Lattice="4.244 0.000 0.000 0.000 4.244 0.000 0.000 0.000 4.526" Properties=species:S:1:pos:R:3 pbc="T T T"
Hg 0.000 0.000 0.000
C 2.122 2.122 2.263
S 2.122 2.122 0.000
Cl 0.000 2.122 2.263
Cl 2.122 0.000 2.263
```

Calculated values
space group = P4/mmm
total energy = -2.840 eV per atom
total magnetic moment = 0.0 μB per cell



# 9
HgCSe2Cl: relaxed, GGA-PBEsol.

```
5
Lattice="4.154 0.000 0.000 0.000 4.154 0.000 0.000 0.000 5.951" Properties=species:S:1:pos:R:3 pbc="T T T"
Hg 0.000 0.000 0.000
C 0.000 0.000 2.975
Se 0.000 2.077 2.975
Se 2.077 0.000 2.975
Cl 2.077 2.077 0.000
```

Calculated values
space group = P4/mmm
total energy = -3.078 eV per atom
total magnetic moment = 0.0 μB per cell



# 10
In3CCl: relaxed, GGA-PBEsol.

```
5
Lattice="4.818 0.000 0.000 0.000 4.818 0.000 0.000 0.000 4.818" Properties=species:S:1:pos:R:3 pbc="T T T"
In 0.000 0.000 2.409
In 0.000 2.409 0.000
In 2.409 0.000 0.000
C 0.000 0.000 0.000
Cl 2.409 2.409 2.409
```

Calculated values
space group = Pm-3m
total energy = -3.574 eV per atom
total magnetic moment = 0.0 μB per cell



# 11
PIrCCl2: relaxed, GGA-PBEsol.

```
5
Lattice="4.838 0.000 0.000 0.000 4.838 0.000 0.000 0.000 4.415" Properties=species:S:1:pos:R:3 pbc="T T T"
P 0.000 0.000 0.000
Ir 0.000 0.000 2.208
C 2.419 2.419 0.000
Cl 0.000 2.419 2.208
Cl 2.419 0.000 2.208
```

Calculated values
space group = P4/mmm
total energy = -4.206 eV per atom
total magnetic moment = 1.5 μB per cell



# 12
Sc2IrCCl: relaxed, GGA-PBEsol.

```
5
Lattice="5.088 0.000 0.000 0.000 5.088 0.000 0.000 0.000 3.820" Properties=species:S:1:pos:R:3 pbc="T T T"
Sc 0.000 2.544 0.000
Sc 2.544 0.000 0.000
Ir 0.000 0.000 0.000
C 0.000 0.000 1.910
Cl 2.544 2.544 1.910
```

Calculated values
space group = P4/mmm
total energy = -7.128 eV per atom
total magnetic moment = 0.8 μB per cell